## A
First-principles (PBE-GGA) data for a relaxed MnOsCl crystal, as listed in Alexandria.

Values from the calculation:
* space group: No. 216
* M_tot: 2.28 μB/f.u.

Unit cell a=4.158 b=4.158 c=4.158 alpha=60.00 beta=60.00 gamma=60.00
Fractional coordinates of all 3 atoms:
Cl 0.000 0.000 0.000
Mn 0.500 0.500 0.500
Os 0.250 0.250 0.250

---

## B
First-principles (PBE-GGA) data for a relaxed MnOsCl crystal, as listed in Alexandria.

Values from the calculation:
* space group: No. 107
* M_tot: 0.63 μB/f.u.

Unit cell a=5.817 b=5.817 c=5.817 alpha=151.91 beta=151.91 gamma=40.14
Fractional coordinates of all 3 atoms:
Cl 0.988 0.988 0.000
Mn 0.322 0.322 0.000
Os 0.690 0.690 0.000

---

What should be chosen as the least stable of them? Choose A.

---

## A
First-principles (PBE-GGA) data for a relaxed MnOsCl crystal, as listed in Alexandria.

Values from the calculation:
* space group: No. 156
* M_tot: 3.31 μB/f.u.

Unit cell a=2.978 b=2.978 c=6.324 alpha=90.00 beta=90.00 gamma=120.00
Fractional coordinates of all 3 atoms:
Cl 0.000 0.000 0.058
Mn 0.667 0.333 0.330
Os 0.333 0.667 0.613

---

## B
First-principles (PBE-GGA) data for a relaxed MnOsCl crystal, as listed in Alexandria.

Values from the calculation:
* space group: No. 42
* M_tot: 3.40 μB/f.u.

Unit cell a=7.518 b=7.250 c=2.888 alpha=83.98 beta=73.56 gamma=22.46
Fractional coordinates of all 3 atoms:
Cl 0.037 0.037 0.963
Mn 0.663 0.663 0.337
Os 0.300 0.300 0.700

---

What should be chosen as the least stable of them? Choose B.

---

## A
First-principles (PBE-GGA) data for a relaxed MnOsSCl2 crystal, as listed in Alexandria.

Values from the calculation:
* space group: No. 123
* M_tot: 5.08 μB/f.u.

Unit cell a=4.949 b=4.949 c=4.460 alpha=90.00 beta=90.00 gamma=90.00
Fractional coordinates of all 5 atoms:
S 0.000 0.000 0.500
Mn 0.500 0.500 0.500
Os 0.000 0.000 0.000
Cl 0.000 0.500 0.000
Cl 0.500 0.000 0.000

---

## B
First-principles (PBE-GGA) data for a relaxed MnOsSCl2 crystal, as listed in Alexandria.

Values from the calculation:
* space group: No. 123
* M_tot: 8.23 μB/f.u.

Unit cell a=4.615 b=4.615 c=4.999 alpha=90.00 beta=90.00 gamma=90.00
Fractional coordinates of all 5 atoms:
S 0.000 0.000 0.500
Mn 0.000 0.000 0.000
Os 0.500 0.500 0.500
Cl 0.000 0.500 0.000
Cl 0.500 0.000 0.000

---

What should be chosen as the least stable of them? Choose B.

---

## A
First-principles (PBE-GGA) data for a relaxed MnP2Cl crystal, as listed in Alexandria.

Values from the calculation:
* space group: No. 10
* M_tot: 3.92 μB/f.u.

Unit cell a=4.499 b=3.565 c=5.087 alpha=68.16 beta=90.00 gamma=90.00
Fractional coordinates of all 4 atoms:
Cl 0.500 0.250 0.250
Mn 0.500 0.750 0.750
P 0.000 0.923 0.899
P 0.000 0.577 0.601

---

## B
First-principles (PBE-GGA) data for a relaxed MnP2Cl crystal, as listed in Alexandria.

Values from the calculation:
* space group: No. 139
* M_tot: 4.50 μB/f.u.

Unit cell a=6.636 b=6.636 c=6.636 alpha=150.14 beta=150.14 gamma=42.73
Fractional coordinates of all 4 atoms:
Cl 0.250 0.750 0.500
Mn 0.750 0.250 0.500
P 0.000 0.000 0.000
P 0.500 0.500 0.000

---

## C
First-principles (PBE-GGA) data for a relaxed MnP2Cl crystal, as listed in Alexandria.

Values from the calculation:
* space group: No. 6
* M_tot: 0.00 μB/f.u.

Unit cell a=3.575 b=3.670 c=5.882 alpha=87.55 beta=90.00 gamma=90.00
Fractional coordinates of all 4 atoms:
Cl 0.000 0.642 0.562
Mn 0.500 0.729 0.837
P 0.000 0.884 0.014
P 0.500 0.246 0.087

---

What should be chosen as the least stable of them? Choose B.

---

## A
First-principles (PBE-GGA) data for a relaxed MnP2Cl crystal, as listed in Alexandria.

Values from the calculation:
* space group: No. 12
* M_tot: 4.14 μB/f.u.

Unit cell a=4.475 b=4.475 c=4.469 alpha=70.15 beta=70.15 gamma=108.61
Fractional coordinates of all 4 atoms:
Cl 0.500 0.000 0.500
Mn 0.000 0.500 0.500
P 0.000 0.000 0.000
P 0.500 0.500 0.000

---

## B
First-principles (PBE-GGA) data for a relaxed MnP2Cl crystal, as listed in Alexandria.

Values from the calculation:
* space group: No. 122
* M_tot: 0.00 μB/f.u.

Unit cell a=5.655 b=5.655 c=6.653 alpha=64.85 beta=64.85 gamma=90.00
Fractional coordinates of all 8 atoms:
P 0.733 0.125 0.250
P 0.017 0.625 0.250
P 0.375 0.267 0.750
P 0.875 0.983 0.750
Mn 0.000 0.000 0.000
Mn 0.750 0.250 0.500
Cl 0.500 0.500 0.000
Cl 0.250 0.750 0.500

---

What should be chosen as the least stable of them? Choose A.

---

## A
First-principles (PBE-GGA) data for a relaxed MnP2Cl crystal, as listed in Alexandria.

Values from the calculation:
* space group: No. 225
* M_tot: 2.45 μB/f.u.

Unit cell a=4.414 b=4.414 c=4.414 alpha=60.00 beta=60.00 gamma=60.00
Fractional coordinates of all 4 atoms:
P 0.250 0.250 0.250
P 0.750 0.750 0.750
Mn 0.500 0.500 0.500
Cl 0.000 0.000 0.000

---

## B
First-principles (PBE-GGA) data for a relaxed MnP2Cl crystal, as listed in Alexandria.

Values from the calculation:
* space group: No. 160
* M_tot: 4.62 μB/f.u.

Unit cell a=8.736 b=8.736 c=8.736 alpha=22.44 beta=22.44 gamma=22.44
Fractional coordinates of all 4 atoms:
Cl 0.465 0.465 0.465
Mn 0.741 0.741 0.741
P 0.004 0.004 0.004
P 0.290 0.290 0.290

---

## C
First-principles (PBE-GGA) data for a relaxed MnP2Cl crystal, as listed in Alexandria.

Values from the calculation:
* space group: No. 8
* M_tot: 2.01 μB/f.u.

Unit cell a=4.267 b=4.267 c=7.342 alpha=75.19 beta=75.19 gamma=43.48
Fractional coordinates of all 4 atoms:
Cl 0.587 0.587 0.390
Mn 0.206 0.206 0.147
P 0.932 0.932 0.074
P 0.774 0.774 0.888

---

What should be chosen as the least stable of them? Choose A.

---

## A
First-principles (PBE-GGA) data for a relaxed MnP2Cl crystal, as listed in Alexandria.

Values from the calculation:
* space group: No. 99
* M_tot: 4.08 μB/f.u.

Unit cell a=3.261 b=3.261 c=7.358 alpha=90.00 beta=90.00 gamma=90.00
Fractional coordinates of all 4 atoms:
Cl 0.000 0.000 0.587
Mn 0.500 0.500 0.779
P 0.000 0.000 0.029
P 0.500 0.500 0.106

---

## B
First-principles (PBE-GGA) data for a relaxed MnP2Cl crystal, as listed in Alexandria.

Values from the calculation:
* space group: No. 65
* M_tot: 3.78 μB/f.u.

Unit cell a=5.922 b=5.922 c=2.814 alpha=90.00 beta=90.00 gamma=134.30
Fractional coordinates of all 4 atoms:
Cl 0.500 0.000 0.500
Mn 0.000 0.500 0.500
P 0.000 0.000 0.000
P 0.500 0.500 0.000

---

## C
First-principles (PBE-GGA) data for a relaxed MnP2Cl crystal, as listed in Alexandria.

Values from the calculation:
* space group: No. 123
* M_tot: 0.01 μB/f.u.

Unit cell a=2.827 b=2.827 c=8.106 alpha=90.00 beta=90.00 gamma=90.01
Fractional coordinates of all 4 atoms:
Cl 0.500 0.500 0.250
Mn 0.500 0.500 0.750
P 0.000 0.000 0.911
P 0.000 0.000 0.589

---

What should be chosen as the least stable of them? Choose B.

---

## A
First-principles (PBE-GGA) data for a relaxed MnP2Cl crystal, as listed in Alexandria.

Values from the calculation:
* space group: No. 12
* M_tot: 0.34 μB/f.u.

Unit cell a=3.763 b=3.763 c=7.196 alpha=108.82 beta=108.82 gamma=46.03
Fractional coordinates of all 4 atoms:
Cl 0.750 0.750 0.750
Mn 0.250 0.250 0.250
P 0.898 0.898 0.097
P 0.602 0.602 0.403

---

## B
First-principles (PBE-GGA) data for a relaxed MnP2Cl crystal, as listed in Alexandria.

Values from the calculation:
* space group: No. 123
* M_tot: 4.08 μB/f.u.

Unit cell a=4.808 b=4.808 c=2.774 alpha=90.00 beta=90.00 gamma=90.00
Fractional coordinates of all 4 atoms:
Cl 0.500 0.000 0.500
Mn 0.000 0.500 0.500
P 0.000 0.000 0.000
P 0.500 0.500 0.000

---

## C
First-principles (PBE-GGA) data for a relaxed MnP2Cl crystal, as listed in Alexandria.

Values from the calculation:
* space group: No. 216
* M_tot: 3.79 μB/f.u.

Unit cell a=4.488 b=4.488 c=4.488 alpha=120.03 beta=120.03 gamma=89.94
Fractional coordinates of all 4 atoms:
Cl 0.500 0.500 0.000
Mn 0.750 0.250 0.500
P 0.000 0.000 0.000
P 0.250 0.750 0.500

---

## D
First-principles (PBE-GGA) data for a relaxed MnP2Cl crystal, as listed in Alexandria.

Values from the calculation:
* space group: No. 35
* M_tot: 4.28 μB/f.u.

Unit cell a=3.852 b=3.852 c=8.798 alpha=90.00 beta=90.00 gamma=129.88
Fractional coordinates of all 4 atoms:
Cl 0.000 0.000 0.582
Mn 0.500 0.500 0.776
P 0.000 0.000 0.992
P 0.500 0.500 0.151

---

What should be chosen as the least stable of them? Choose B.

---

## A
First-principles (PBE-GGA) data for a relaxed MnPCl3 crystal, as listed in Alexandria.

Values from the calculation:
* space group: No. 221
* M_tot: 0.18 μB/f.u.

Unit cell a=4.565 b=4.565 c=4.565 alpha=90.00 beta=90.00 gamma=90.00
Fractional coordinates of all 5 atoms:
P 0.500 0.500 0.500
Mn 0.000 0.000 0.000
Cl 0.000 0.500 0.000
Cl 0.000 0.000 0.500
Cl 0.500 0.000 0.000

---

## B
First-principles (PBE-GGA) data for a relaxed MnPCl3 crystal, as listed in Alexandria.

Values from the calculation:
* space group: No. 221
* M_tot: 5.65 μB/f.u.

Unit cell a=4.944 b=4.944 c=4.944 alpha=90.00 beta=90.00 gamma=90.00
Fractional coordinates of all 5 atoms:
P 0.000 0.000 0.000
Mn 0.500 0.500 0.500
Cl 0.000 0.500 0.000
Cl 0.000 0.000 0.500
Cl 0.500 0.000 0.000

---

What should be chosen as the least stable of them? Choose A.

---

## A
First-principles (PBE-GGA) data for a relaxed Mn2PCl crystal, as listed in Alexandria.

Values from the calculation:
* space group: No. 99
* M_tot: 7.45 μB/f.u.

Unit cell a=3.218 b=3.218 c=7.111 alpha=90.00 beta=90.00 gamma=90.00
Fractional coordinates of all 4 atoms:
Cl 0.500 0.500 0.850
Mn 0.000 0.000 0.022
Mn 0.500 0.500 0.259
P 0.000 0.000 0.369

---

## B
First-principles (PBE-GGA) data for a relaxed Mn2PCl crystal, as listed in Alexandria.

Values from the calculation:
* space group: No. 160
* M_tot: 6.47 μB/f.u.

Unit cell a=8.068 b=8.068 c=8.068 alpha=24.51 beta=24.51 gamma=24.51
Fractional coordinates of all 4 atoms:
Cl 0.725 0.725 0.725
Mn 0.995 0.995 0.995
Mn 0.243 0.243 0.243
P 0.537 0.537 0.537

---

What should be chosen as the least stable of them? Choose B.

---

## A
First-principles (PBE-GGA) data for a relaxed MnP2PdCl crystal, as listed in Alexandria.

Values from the calculation:
* space group: No. 123
* M_tot: 3.73 μB/f.u.

Unit cell a=4.658 b=4.658 c=4.961 alpha=90.00 beta=90.00 gamma=90.00
Fractional coordinates of all 5 atoms:
P 0.000 0.500 0.000
P 0.500 0.000 0.000
Mn 0.500 0.500 0.500
Pd 0.000 0.000 0.000
Cl 0.000 0.000 0.500

---

## B
First-principles (PBE-GGA) data for a relaxed MnP2PdCl crystal, as listed in Alexandria.

Values from the calculation:
* space group: No. 123
* M_tot: 0.07 μB/f.u.

Unit cell a=4.248 b=4.248 c=4.958 alpha=90.00 beta=90.00 gamma=90.00
Fractional coordinates of all 5 atoms:
P 0.000 0.500 0.000
P 0.500 0.000 0.000
Mn 0.000 0.000 0.000
Pd 0.500 0.500 0.500
Cl 0.000 0.000 0.500

---

What should be chosen as the least stable of them? Choose A.

---

## A
First-principles (PBE-GGA) data for a relaxed RbMnP2Cl crystal, as listed in Alexandria.

Values from the calculation:
* space group: No. 123
* M_tot: 3.50 μB/f.u.

Unit cell a=5.462 b=5.462 c=5.558 alpha=90.00 beta=90.00 gamma=90.00
Fractional coordinates of all 5 atoms:
P 0.000 0.500 0.000
P 0.500 0.000 0.000
Mn 0.500 0.500 0.500
Rb 0.000 0.000 0.000
Cl 0.000 0.000 0.500

---

## B
First-principles (PBE-GGA) data for a relaxed RbMnP2Cl crystal, as listed in Alexandria.

Values from the calculation:
* space group: No. 123
* M_tot: 2.52 μB/f.u.

Unit cell a=4.405 b=4.405 c=6.694 alpha=90.00 beta=90.00 gamma=90.00
Fractional coordinates of all 5 atoms:
P 0.000 0.500 0.000
P 0.500 0.000 0.000
Mn 0.000 0.000 0.000
Rb 0.500 0.500 0.500
Cl 0.000 0.000 0.500

---

What should be chosen as the least stable of them? Choose A.